# SmSnSb2

A relaxed structure of SmSnSb2 (PBE, the Alexandria database).

Values from the calculation:
The energy above the most stable polymorph in this dataset is 0.451 kcal/mol of atoms. The total energy comes out at -75.9 eV/cell. For the formation energy without anion corrections, the calculation gives -2.01 eV/f.u. The calculation puts the volume at 452.8 Å³ per cell.

Cell: 7.694 7.694 7.649 Å, 90.00 90.00 90.00°
Fractional positions:
Sm 0.000 0.000 0.250
Sm 0.000 0.000 0.750
Sm 0.500 0.500 0.250
Sm 0.500 0.500 0.750
Sn 0.000 0.500 0.250
Sn 0.000 0.500 0.750
Sn 0.500 0.000 0.250
Sn 0.500 0.000 0.750
Sb 0.215 0.285 0.000
Sb 0.215 0.715 0.500
Sb 0.285 0.215 0.500
Sb 0.285 0.785 0.000
Sb 0.715 0.215 0.000
Sb 0.715 0.785 0.500
Sb 0.785 0.285 0.500
Sb 0.785 0.715 0.000


# Ce2SmErIn4

A relaxed structure of Ce2SmErIn4 (PBE, the Alexandria database).

Values from the calculation:
The total energy comes out at -35.3 eV/cell. The calculation puts the volume at 223.9 Å³ per cell. As for the calculated formation energy: -0.3964 eV per atom.

Cell: 9.384 9.384 9.384 Å, 33.47 33.47 33.47°
Fractional positions:
Ce 0.249 0.249 0.249
Ce 0.751 0.751 0.751
Sm 0.000 0.000 0.000
Er 0.500 0.500 0.500
In 0.126 0.126 0.126
In 0.376 0.376 0.376
In 0.624 0.624 0.624
In 0.874 0.874 0.874


# FePdRu2N

A relaxed structure of FePdRu2N (PBE, the Alexandria database).

Values from the calculation:
The total energy comes out at -39.7 eV/cell. For the formation energy without anion corrections, the calculation gives 0.86 eV/f.u. The calculation puts the volume at 63.0 Å³ per cell.

Cell: 4.014 4.014 3.906 Å, 90.00 90.00 90.00°
Fractional positions:
Fe 0.000 0.000 0.000
Pd 0.500 0.500 0.000
Ru 0.000 0.500 0.500
Ru 0.500 0.000 0.500
N 0.000 0.000 0.500


# Na3I2O

A relaxed structure of Na3I2O (PBE, the Alexandria database).

Values from the calculation:
The total energy comes out at -36.1 eV/cell. For the formation energy without anion corrections, the calculation gives -6.04 eV/f.u. The calculation puts the volume at 335.1 Å³ per cell.

Cell: 6.974 6.974 7.138 Å, 90.00 90.00 74.88°
Fractional positions:
Na 0.144 0.856 0.750
Na 0.371 0.371 0.000
Na 0.371 0.371 0.500
Na 0.629 0.629 0.000
Na 0.629 0.629 0.500
Na 0.856 0.144 0.250
I 0.013 0.338 0.750
I 0.338 0.013 0.250
I 0.662 0.987 0.750
I 0.987 0.662 0.250
O 0.411 0.589 0.750
O 0.589 0.411 0.250


# Be2TeP

A relaxed structure of Be2TeP (PBE, the Alexandria database).

Values from the calculation:
The energy above the most stable polymorph in this dataset is 5.622 kcal/mol of atoms. The total energy comes out at -31.1 eV/cell. For the formation energy without anion corrections, the calculation gives 0.45 eV/f.u. The calculation puts the volume at 124.1 Å³ per cell.

Cell: 6.075 3.484 6.191 Å, 90.00 108.68 90.00°
Fractional positions:
Be 0.223 0.000 0.173
Be 0.277 0.500 0.827
Be 0.723 0.500 0.173
Be 0.777 0.000 0.827
Te 0.000 0.000 0.500
Te 0.500 0.500 0.500
P 0.000 0.500 0.000
P 0.500 0.000 0.000


# TeRu3Se

A relaxed structure of TeRu3Se (PBE, the Alexandria database).

Values from the calculation:
The energy above the most stable polymorph in this dataset is 14.789 kcal/mol of atoms. The total energy comes out at -26.6 eV/cell. For the formation energy without anion corrections, the calculation gives 7.90 eV/f.u. The calculation puts the volume at 115.2 Å³ per cell.

Cell: 4.866 4.866 4.866 Å, 90.00 90.00 90.00°
Fractional positions:
Te 0.000 0.000 0.000
Ru 0.000 0.000 0.500
Ru 0.000 0.500 0.000
Ru 0.500 0.000 0.000
Se 0.500 0.500 0.500


# Hg3SbI9

A relaxed structure of Hg3SbI9 (PBE, the Alexandria database).

Values from the calculation:
The total energy comes out at -44.6 eV/cell. For the formation energy without anion corrections, the calculation gives -3.32 eV/f.u. The calculation puts the volume at 1277.6 Å³ per cell.

Cell: 11.670 11.670 14.757 Å, 123.45 123.45 54.01°
Fractional positions:
Hg 0.063 0.937 0.500
Hg 0.274 0.481 0.577
Hg 0.481 0.274 0.077
Hg 0.647 0.870 0.151
Hg 0.870 0.647 0.651
Hg 0.937 0.063 0.000
Sb 0.407 0.875 0.338
Sb 0.875 0.407 0.838
I 0.058 0.385 0.522
I 0.068 0.974 0.196
I 0.076 0.778 0.847
I 0.134 0.615 0.412
I 0.150 0.382 0.868
I 0.322 0.947 0.540
I 0.382 0.150 0.368
I 0.385 0.058 0.022
I 0.458 0.519 0.273
I 0.519 0.458 0.773
I 0.567 0.692 0.162
I 0.615 0.134 0.912
I 0.692 0.567 0.662
I 0.696 0.868 0.538
I 0.778 0.076 0.347
I 0.868 0.696 0.038
I 0.947 0.322 0.040
I 0.974 0.068 0.696


# Ta5P4

A relaxed structure of Ta5P4 (PBE, the Alexandria database).

Values from the calculation:
The total energy comes out at -171.3 eV/cell. The calculation puts the volume at 284.9 Å³ per cell. As for the calculated formation energy: -0.5299 eV per atom.

Cell: 7.214 7.214 6.321 Å, 90.00 90.00 120.00°
Fractional positions:
Ta 0.000 0.258 0.250
Ta 0.000 0.742 0.750
Ta 0.258 0.000 0.250
Ta 0.258 0.258 0.750
Ta 0.333 0.667 0.000
Ta 0.333 0.667 0.500
Ta 0.667 0.333 0.000
Ta 0.667 0.333 0.500
Ta 0.742 0.000 0.750
Ta 0.742 0.742 0.250
P 0.000 0.000 0.000
P 0.000 0.000 0.500
P 0.000 0.403 0.750
P 0.000 0.597 0.250
P 0.403 0.000 0.750
P 0.403 0.403 0.250
P 0.597 0.000 0.250
P 0.597 0.597 0.750